# LiBeTc2 (PBE, optimized geometry)
# excess energy over the best structure of this formula in the dataset: 0.0 meV per atom
# V: 199.8 Å³ per cell
data_LiBeTc2
_space_group_name_H-M_alt 'P 1'
_space_group_IT_number 1
_cell_length_a 5.8460
_cell_length_b 5.8460
_cell_length_c 5.8460
_cell_angle_alpha 90.00
_cell_angle_beta 90.00
_cell_angle_gamma 90.00
loop_
_space_group_symop_operation_xyz
'x,y,z'
loop_
_atom_site_label
_atom_site_type_symbol
_atom_site_fract_x
_atom_site_fract_y
_atom_site_fract_z
_atom_site_occupancy
Li1 Li 0.0000 0.0000 0.0000 1
Li2 Li 0.0000 0.5000 0.5000 1
Li3 Li 0.5000 0.0000 0.5000 1
Li4 Li 0.5000 0.5000 0.0000 1
Be1 Be 0.2500 0.2500 0.2500 1
Be2 Be 0.2500 0.7500 0.7500 1
Be3 Be 0.7500 0.2500 0.7500 1
Be4 Be 0.7500 0.7500 0.2500 1
Tc1 Tc 0.0000 0.0000 0.5000 1
Tc2 Tc 0.0000 0.5000 0.0000 1
Tc3 Tc 0.2500 0.2500 0.7500 1
Tc4 Tc 0.2500 0.7500 0.2500 1
Tc5 Tc 0.5000 0.0000 0.0000 1
Tc6 Tc 0.5000 0.5000 0.5000 1
Tc7 Tc 0.7500 0.2500 0.2500 1
Tc8 Tc 0.7500 0.7500 0.7500 1